1.
Crystalline Ac16Pr6Sm7 at its relaxed geometry, computed with PBE-GGA.

Results
* total DFT energy (no corrections): -4.205 eV per atom
* calculated formation energy: 190 meV per atom
* space group: Fm-3m (225)

Geometry as POSCAR:
```
Ac16Pr6Sm7
1.0
-11.613 1.019 3.010
-5.386 -8.759 6.263
-3.102 1.846 11.486
Ac Pr Sm
16 6 7
Cartesian
-16.036 -6.080 12.423
-17.587 -5.157 18.164
-14.895 -0.779 15.033
-11.782 -5.667 16.659
-2.513 -0.737 2.596
-4.064 0.186 8.337
-5.205 -5.115 5.726
-8.318 -0.228 4.100
-11.187 -4.910 6.658
-13.021 -3.818 13.448
-9.837 1.360 9.745
-6.155 -4.421 11.668
-7.079 -2.076 7.311
-8.913 -0.985 14.102
-10.263 -7.254 11.014
-13.945 -1.474 9.091
-7.815 -5.733 8.407
-12.285 -0.162 12.353
-10.799 -1.047 6.848
-9.301 -4.848 13.912
-13.380 -5.244 9.850
-6.720 -0.650 10.910
0.000 0.000 0.000
-7.357 1.432 7.248
-2.693 -4.379 3.132
-4.244 -3.456 8.875
-5.806 0.509 1.505
-1.551 0.923 5.743
-8.499 -3.870 4.637
```

2.
Crystalline NdErCdGa at its relaxed geometry, computed with PBE-GGA.

Results
* total DFT energy (no corrections): -3.767 eV per atom
* calculated formation energy: -449 meV per atom
* excess energy over the best structure of this formula in the dataset: 0.000 eV/atom
* space group: P4mm (99)

Geometry as POSCAR:
```
NdErCdGa
1.0
3.651 0.000 0.000
0.000 3.651 0.000
0.000 0.000 7.602
Nd Er Cd Ga
1 1 1 1
Cartesian
1.826 1.826 0.944
1.826 1.826 4.498
0.000 0.000 6.377
0.000 0.000 2.838
```

3.
Crystalline SrLiCo2Os at its relaxed geometry, computed with PBE-GGA.

Results
* total DFT energy (no corrections): -4.792 eV per atom
* calculated formation energy: 1015 meV per atom
* space group: P4/mmm (123)

Geometry as POSCAR:
```
SrLiCo2Os
1.0
4.563 0.000 0.000
0.000 5.572 0.000
0.000 0.000 4.563
Sr Li Os Co
1 1 1 2
Cartesian
0.000 2.786 0.000
2.281 2.786 2.281
0.000 0.000 0.000
0.000 0.000 2.281
2.281 0.000 0.000
```

4.
Crystalline SmMgScRh at its relaxed geometry, computed with PBE-GGA.

Results
* total DFT energy (no corrections): -5.367 eV per atom
* calculated formation energy: -367 meV per atom
* space group: F-43m (216)

Geometry as POSCAR:
```
SmMgScRh
1.0
4.970 0.000 0.000
2.485 4.304 0.000
2.485 1.435 4.058
Sc Mg Rh Sm
1 1 1 1
Cartesian
0.000 0.000 0.000
2.485 1.435 1.015
7.455 4.304 3.044
4.970 2.870 2.029
```

5.
Crystalline ZnNi2RhS at its relaxed geometry, computed with PBE-GGA.

Results
* total DFT energy (no corrections): -3.777 eV per atom
* E_form (uncorrected): 1086 meV per atom
* space group: P4/mmm (123)

Geometry as POSCAR:
```
ZnNi2RhS
1.0
-2.059 2.719 -2.660
2.295 -1.764 -3.579
-3.133 -2.927 -0.566
Ni Zn Rh S
2 1 1 1
Cartesian
-1.567 -1.463 -0.283
-1.029 1.359 -1.330
0.000 0.000 0.000
1.147 -0.882 -1.790
-1.449 -0.986 -3.403
```

6.
Crystalline LiH2Pd at its relaxed geometry, computed with PBE-GGA.

Results
* total DFT energy (no corrections): -3.704 eV per atom
* excess energy over the best structure of this formula in the dataset: 0.128 eV/atom
* space group: I-42d (122)

Geometry as POSCAR:
```
LiH2Pd
1.0
-2.067 0.007 3.517
2.140 -3.235 1.264
3.113 1.126 4.194
H Pd Li
4 2 2
Cartesian
-0.328 -0.118 3.544
1.939 -1.740 2.139
2.277 -0.238 4.888
2.483 -2.108 7.379
0.000 0.000 0.000
0.541 -0.240 5.051
0.036 -1.614 2.391
2.645 -1.862 3.924
```

7.
Crystalline Co2HgMo at its relaxed geometry, computed with PBE-GGA.

Results
* total DFT energy (no corrections): -5.670 eV per atom
* calculated formation energy: 666 meV per atom
* space group: F-43m (216)

Geometry as POSCAR:
```
Co2HgMo
1.0
4.365 0.000 0.000
2.183 3.780 0.000
2.183 1.260 3.564
Co Hg Mo
2 1 1
Cartesian
0.000 0.000 0.000
6.548 3.780 2.673
4.365 2.520 1.782
2.183 1.260 0.891
```

8.
Crystalline KNb2S at its relaxed geometry, computed with PBE-GGA.

Results
* total DFT energy (no corrections): -5.759 eV per atom
* E_form (uncorrected): 582 meV per atom
* space group: I-42d (122)

Geometry as POSCAR:
```
KNb2S
1.0
4.888 0.000 0.000
0.000 4.888 0.000
2.444 2.444 9.153
S Nb K
2 4 2
Cartesian
2.444 2.444 0.000
2.444 4.888 4.576
2.395 1.222 2.288
2.494 3.666 2.288
3.666 4.938 6.865
6.110 4.839 6.865
0.000 0.000 0.000
4.888 2.444 4.576
```